! NaCaBePd2, PBEsol geometry, DFT meta-GGA SCAN; values from VASP
! - Total magnetization: 0.00 μB/cell
! - Final energy: -15.67 eV per atom
&SYSTEM
  ibrav = 0, nat = 5, ntyp = 4
/
ATOMIC_SPECIES
Na 22.99 Na.upf
Ca 40.08 Ca.upf
Be 9.01 Be.upf
Pd 106.42 Pd.upf
CELL_PARAMETERS angstrom
4.825 0.000 0.000
0.000 4.825 0.000
0.000 0.000 5.078
ATOMIC_POSITIONS crystal
Na 0.000 0.000 0.000
Ca 0.000 0.000 0.500
Be 0.500 0.500 0.000
Pd 0.000 0.500 0.500
Pd 0.500 0.000 0.500